AgPPdO2 | Alexandria via LeMat-Bulk | PBE | optimized geometry; formation energy from raw total energies = 3.98 eV/f.u.; E = -3.879 eV per atom; energy relative to the lowest polymorph listed for this composition = 0.453 eV/atom
1.0
3.906 0.000 0.000
0.000 3.906 0.000
0.000 0.000 5.201
Ag P Pd O
1 1 1 2
direct
0.000 0.000 0.000
0.000 0.000 0.500
0.500 0.500 0.500
0.000 0.500 0.000
0.500 0.000 0.000